[1]
## Be2RuSe (PBE)

Data for crystalline Be2RuSe at its relaxed geometry.

It has space group I-4m2 (No. 119), with a = 3.491 Å, b = 3.491 Å, c = 7.971 Å, α = 90.00°, β = 90.00° and γ = 90.00°. The asymmetric unit holds Be at (0.000, 0.000, 0.000), Be at (0.000, 0.500, 0.250), Ru at (0.000, 0.500, 0.750) and Se at (0.000, 0.000, 0.500).

As for the crystal system: tetragonal. The value obtained for the total energy is -4.8876 eV/atom.

[2]
## Be2RuSe (PBE)

Data for crystalline Be2RuSe at its relaxed geometry.

It has space group Cmmm (No. 65), with a = 5.257 Å, b = 5.843 Å, c = 3.138 Å, α = 90.00°, β = 90.00° and γ = 90.00°. The asymmetric unit holds Be at (0.250, 0.250, 0.000), Ru at (0.000, 0.000, 0.500) and Se at (0.000, 0.500, 0.500).

As for the crystal system: orthorhombic. The value obtained for the total energy is -4.9302 eV/atom.

[3]
## Be2RuSe (PBE)

Data for crystalline Be2RuSe at its relaxed geometry.

It has space group I4/mmm (No. 139), with a = 3.590 Å, b = 3.590 Å, c = 7.478 Å, α = 90.00°, β = 90.00° and γ = 90.00°. The asymmetric unit holds Be at (0.000, 0.500, 0.250), Ru at (0.000, 0.000, 0.000) and Se at (0.000, 0.000, 0.500).

As for the crystal system: tetragonal. The value obtained for the total energy is -4.8327 eV/atom.

[4]
## BeRu2Se (PBE)

Data for crystalline BeRu2Se at its relaxed geometry.

It has space group P2/m (No. 10), with a = 2.908 Å, b = 3.895 Å, c = 5.338 Å, α = 90.00°, β = 105.56° and γ = 90.00°. The asymmetric unit holds Be at (0.000, 0.000, 0.000), Ru at (0.375, 0.500, 0.211) and Se at (0.500, 0.000, 0.500).

As for the crystal system: monoclinic. The value obtained for the total energy is -6.1855 eV/atom. The energy above the most stable polymorph in this dataset is 0.234 eV/atom.

[5]
## BeRu2Se (PBE)

Data for crystalline BeRu2Se at its relaxed geometry.

It has space group C2/m (No. 12), with a = 7.812 Å, b = 2.916 Å, c = 4.830 Å, α = 90.00°, β = 102.59° and γ = 90.00°. The asymmetric unit holds Be at (0.000, 0.000, 0.000), Ru at (0.240, 0.500, 0.233) and Se at (0.000, 0.500, 0.500).

As for the crystal system: monoclinic. The value obtained for the total energy is -6.3087 eV/atom. The energy above the most stable polymorph in this dataset is 0.111 eV/atom.

[6]
## BeRuSe4 (PBE)

Data for crystalline BeRuSe4 at its relaxed geometry.

It has space group F-43m (No. 216), with a = 7.858 Å, b = 7.858 Å, c = 7.858 Å, α = 90.00°, β = 90.00° and γ = 90.00°. The asymmetric unit holds Be at (0.000, 0.000, 0.000), Ru at (0.250, 0.250, 0.250) and Se at (0.125, 0.125, 0.625).

As for the crystal system: cubic. The value obtained for the total energy is -3.2285 eV/atom.

[7]
## BeRu2Se (PBE)

Data for crystalline BeRu2Se at its relaxed geometry.

It has space group Immm (No. 71), with a = 3.057 Å, b = 4.597 Å, c = 7.616 Å, α = 90.00°, β = 90.00° and γ = 90.00°. The asymmetric unit holds Be at (0.000, 0.000, 0.000), Ru at (0.000, 0.500, 0.284) and Se at (0.000, 0.000, 0.500).

As for the crystal system: orthorhombic. The value obtained for the total energy is -6.2159 eV/atom. The energy above the most stable polymorph in this dataset is 0.204 eV/atom.

[8]
## Be2RuSe (PBE)

Data for crystalline Be2RuSe at its relaxed geometry.

It has space group F-43m (No. 216), with a = 5.851 Å, b = 5.851 Å, c = 5.851 Å, α = 90.00°, β = 90.00° and γ = 90.00°. The asymmetric unit holds Be at (0.000, 0.000, 0.000), Be at (0.250, 0.250, 0.250), Ru at (0.250, 0.250, 0.750) and Se at (0.000, 0.000, 0.500).

As for the crystal system: cubic. The value obtained for the total energy is -4.6692 eV/atom.

[9]
## BeRu2Se (PBE)

Data for crystalline BeRu2Se at its relaxed geometry.

It has space group Imm2 (No. 44), with a = 2.954 Å, b = 4.130 Å, c = 8.840 Å, α = 90.00°, β = 90.00° and γ = 90.00°. The asymmetric unit holds Be at (0.000, 0.000, 0.000), Ru at (0.000, 0.000, 0.497), Ru at (0.000, 0.500, 0.719) and Se at (0.000, 0.500, 0.234).

As for the crystal system: orthorhombic. The value obtained for the total energy is -6.2208 eV/atom. The energy above the most stable polymorph in this dataset is 0.199 eV/atom.

[10]
## BeRu2Se (PBE)

Data for crystalline BeRu2Se at its relaxed geometry.

It has space group Cmmm (No. 65), with a = 2.961 Å, b = 4.754 Å, c = 7.803 Å, α = 90.00°, β = 90.00° and γ = 90.00°. The asymmetric unit holds Be at (0.000, 0.000, 0.000), Ru at (0.000, 0.500, 0.217) and Se at (0.000, 0.000, 0.500).

As for the crystal system: orthorhombic. The value obtained for the total energy is -6.0401 eV/atom. The energy above the most stable polymorph in this dataset is 0.380 eV/atom.

[11]
## Be2RuSe (PBE)

Data for crystalline Be2RuSe at its relaxed geometry.

It has space group P2/m (No. 10), with a = 3.021 Å, b = 3.283 Å, c = 5.160 Å, α = 90.00°, β = 90.12° and γ = 90.00°. The asymmetric unit holds Be at (0.000, 0.000, 0.198), Ru at (0.500, 0.500, 0.000) and Se at (0.000, 0.500, 0.500).

As for the crystal system: monoclinic. The value obtained for the total energy is -5.0466 eV/atom.

[12]
## BeRu2Se (PBE)

Data for crystalline BeRu2Se at its relaxed geometry.

It has space group P4mm (No. 99), with a = 3.066 Å, b = 3.066 Å, c = 5.717 Å, α = 90.00°, β = 90.00° and γ = 90.00°. The asymmetric unit holds Be at (0.000, 0.000, 0.000), Ru at (0.000, 0.000, 0.459), Ru at (0.500, 0.500, 0.118) and Se at (0.500, 0.500, 0.689).

As for the crystal system: tetragonal. The value obtained for the total energy is -6.3727 eV/atom. The energy above the most stable polymorph in this dataset is 0.047 eV/atom.